The following is a DFT calculation (GGA-PBE) of a geometry-optimized CeDy3C structure.

Cell: 5.0471 5.0471 5.0471 Å, 90.00 90.00 90.00°
Last column: nearest neighbours and their distance in Å.
Space group Pm-3m (No. 221)
Symmetry-distinct sites (fractional):
Ce: 0.0000 0.0000 0.0000 x1  12 Dy 3.57
Dy: 0.0000 0.5000 0.5000 x3  2 C 2.52
C: 0.5000 0.5000 0.5000 x1  6 Dy 2.52


The following is a DFT calculation (GGA-PBE) of a geometry-optimized CeDyC4 structure.

Cell: 3.7216 3.7216 6.2776 Å, 90.00 90.00 90.00°
Last column: nearest neighbours and their distance in Å.
Space group P4/mmm (No. 123)
Symmetry-distinct sites (fractional):
Ce: 0.0000 0.0000 0.0000 x1  10 C 2.49-2.71
Dy: 0.5000 0.5000 0.5000 x1  10 C 2.48-2.71
C: 0.0000 0.0000 0.3965 x2  1 C 1.30
C: 0.5000 0.5000 0.1048 x2  1 C 1.32


Number 1: formation energy 0.41 eV per formula unit. Number 2: formation energy -0.97 eV per formula unit.